[1]
CePmPa2 PBE-GGA optimized geometry; space-group type = P4/mmm; energy above the most stable polymorph in this dataset = 39 meV/atom; formation energy from the elements = 0.2220 eV/atom
1.0
5.012 0.000 0.000
0.000 4.631 0.000
0.000 0.000 4.631
Pa Ce Pm
2 1 1
Direct
0.000 0.000 0.500
0.000 0.500 0.000
0.500 0.000 0.000
0.500 0.500 0.500



[2]
LaDyTm5Th2 PBE-GGA optimized geometry; space-group type = I4/mcm; formation energy from the elements = 0.3319 eV/atom
1.0
8.912 0.000 0.000
0.000 8.912 0.000
-4.456 -4.456 7.476
La Dy Tm Th
2 2 10 4
Direct
0.250 0.250 0.500
0.750 0.750 0.500
0.250 0.750 0.500
0.750 0.250 0.500
0.930 0.430 0.272
0.658 0.158 0.728
0.070 0.570 0.728
0.158 0.070 0.728
0.570 0.658 0.728
0.842 0.930 0.272
0.430 0.342 0.272
0.342 0.842 0.272
0.500 0.500 0.000
0.000 0.000 0.000
0.118 0.382 0.000
0.618 0.118 0.000
0.382 0.882 0.000
0.882 0.618 0.000



[3]
LaTc2Pd PBE-GGA optimized geometry; space-group type = Fm-3m; energy above the most stable polymorph in this dataset = 191 meV/atom; formation energy from the elements = 0.5054 eV/atom
1.0
0.000 3.288 3.288
3.288 0.000 3.288
3.288 3.288 0.000
Tc Pd La
2 1 1
Direct
0.250 0.250 0.250
0.750 0.750 0.750
0.000 0.000 0.000
0.500 0.500 0.500



[4]
DyThNp PBE-GGA optimized geometry; space-group type = P-1; formation energy from the elements = 0.2121 eV/atom
1.0
-0.313 -1.162 -3.373
1.628 -5.414 1.724
-7.022 -3.099 3.610
Np Dy Th
2 2 2
Direct
0.739 0.137 0.477
0.261 0.863 0.523
0.621 0.689 0.243
0.379 0.311 0.757
0.930 0.777 0.858
0.070 0.223 0.142



[5]
PmAsPd PBE-GGA optimized geometry; space-group type = I4mm; energy above the most stable polymorph in this dataset = 529 meV/atom; formation energy from the elements = -0.6368 eV/atom
1.0
-2.170 2.618 -0.989
-1.106 0.347 3.346
5.324 1.900 -0.312
As Pd Pm
1 1 1
Direct
0.591 0.591 0.181
0.972 0.972 0.943
0.288 0.288 0.575



[6]
BaSc4Te PBE-GGA optimized geometry; space-group type = F-43m; total DFT energy (no corrections) = -29.3 eV per cell
1.0
-1.762 3.449 5.023
-5.201 3.619 -0.304
-5.179 -1.607 3.292
Ba Sc Te
1 4 1
Direct
0.000 0.000 0.000
0.878 0.374 0.374
0.374 0.374 0.878
0.374 0.878 0.374
0.374 0.374 0.374
0.750 0.750 0.750



[7]
TbPuFeNi PBE-GGA optimized geometry; space-group type = F-43m; formation energy from the elements = 0.0045 eV/atom
1.0
4.746 0.000 0.000
2.373 4.110 0.000
2.373 1.370 3.875
Ni Tb Fe Pu
1 1 1 1
Direct
0.250 0.250 0.250
0.000 0.000 0.000
0.750 0.750 0.750
0.500 0.500 0.500



[8]
Cs5H4Br PBE-GGA optimized geometry; space-group type = C2/m; total DFT energy (no corrections) = -24.1 eV per cell
1.0
4.538 0.000 1.037
1.913 7.582 2.078
-0.030 -0.020 10.582
Cs H Br
5 4 1
Direct
0.208 0.902 0.682
0.792 0.098 0.318
0.389 0.342 0.881
0.000 0.500 0.500
0.611 0.658 0.119
0.596 0.211 0.597
0.200 0.387 0.213
0.800 0.613 0.787
0.404 0.789 0.403
0.000 0.000 0.000